Crystalline V2ZnNiO6 at its relaxed geometry, computed with PBE with a Hubbard U.

It has space group C2/c (No. 15), with a = 11.7631 Å, b = 9.4089 Å, c = 5.8743 Å, α = 90.00°, β = 118.33° and γ = 90.00°. The asymmetric unit holds V at (0.2114, 0.0996, 0.2192), Zn at (0.0000, 0.3085, 0.7500), Ni at (0.0000, 0.3044, 0.2500), O at (0.1186, 0.3549, 0.6073), O at (0.1224, 0.2662, 0.1221) and O at (0.1600, 0.0029, 0.4263).

The value obtained for the uncorrected energy is -6.364 eV per atom.